Crystalline LiSm2Tc at its relaxed geometry, computed with GGA-PBE.

Unit cell a=3.5163 b=3.5163 c=29.3511 alpha=90.00 beta=90.00 gamma=120.00
Space group R-3m (No. 166, hexagonal axes)
Asymmetric unit:
Li: 0.0000 0.0000 0.0000 [3 per cell]
Sm: 0.0000 0.0000 0.2358 [6 per cell]
Tc: 0.0000 0.0000 0.5000 [3 per cell]

Crystal system: trigonal
N(E_F) (states/eV/f.u.): 3.1
Formation enthalpy at 0 K (eV per atom): 0.253
E (eV per atom): -5.18